Computed, not measured: an optimized crystal structure of Tl2NiAs at the PBE-GGA level of DFT.

abc: 3.9869 3.9869 6.9039
angles: 106.35 106.35 59.43
Last column: nearest neighbours and their distance in Å.
Atoms (fractional coordinates):
Tl 0.2407 0.2407 0.2217  3 Ni 2.71-2.72, 3 As 2.92-2.93
Tl 0.7593 0.7593 0.7783  3 Ni 2.71-2.72, 3 As 2.92-2.93
Ni 0.5000 0.5000 0.0000  6 Tl 2.71-2.72
As 0.0000 0.0000 0.5000  6 Tl 2.92-2.93

The calculation puts the density of states at the Fermi level at 0.571 states/eV per atom. The value obtained for the energy above the most stable polymorph in this dataset is 461 meV/atom. The total energy comes out at -13.65 eV per cell.

Computed, not measured: an optimized crystal structure of LaTaCr2 at the PBE-GGA level of DFT.

abc: 3.4226 3.4216 6.8113
angles: 90.00 96.20 90.00
Last column: nearest neighbours and their distance in Å.
Atoms (fractional coordinates):
La 0.0000 0.0000 0.0000  8 Cr 3.18-3.51, 2 Ta 3.41, 4 La 3.42
Ta 0.0000 0.0000 0.5000  8 Cr 2.62-2.68
Cr 0.4787 0.5000 0.3395  1 Cr 2.18
Cr 0.5213 0.5000 0.6605  1 Cr 2.18

The calculation puts the density of states at the Fermi level at 1.255 states/eV per atom. The value obtained for the energy above the most stable polymorph in this dataset is 89 meV/atom. The total energy comes out at -34.09 eV per cell.

Computed, not measured: an optimized crystal structure of Tb5Ho6Th at the PBE-GGA level of DFT.

abc: 6.1425 6.1425 11.7352
angles: 95.00 95.00 119.95
Last column: nearest neighbours and their distance in Å.
Atoms (fractional coordinates):
Tb 0.0000 0.0000 0.0000  6 Tb 3.54-3.55, 6 Ho 3.54-3.56
Tb 0.1667 0.8333 0.5000  6 Ho 3.54, 3 Tb 3.55, 3 Th 3.55
Tb 0.3328 0.6672 0.0000  6 Tb 3.54-3.56, 6 Ho 3.54-3.56
Tb 0.6672 0.3328 0.0000  6 Tb 3.54-3.56, 6 Ho 3.54-3.56
Tb 0.8333 0.1667 0.5000  6 Ho 3.54, 3 Tb 3.55, 3 Th 3.55
Ho 0.0869 0.4169 0.2506  6 Ho 3.51-3.57, 1 Th 3.52, 5 Tb 3.54-3.56
Ho 0.2531 0.2531 0.7493  6 Ho 3.51-3.57, 1 Th 3.52, 5 Tb 3.54-3.56
Ho 0.4169 0.0869 0.2506  6 Ho 3.51-3.57, 1 Th 3.52, 5 Tb 3.54-3.56
Ho 0.5831 0.9131 0.7494  6 Ho 3.51-3.57, 1 Th 3.52, 5 Tb 3.54-3.56
Ho 0.7469 0.7469 0.2507  6 Ho 3.51-3.57, 1 Th 3.52, 5 Tb 3.54-3.56
Ho 0.9131 0.5831 0.7494  6 Ho 3.51-3.57, 1 Th 3.52, 5 Tb 3.54-3.56
Th 0.5000 0.5000 0.5000  6 Ho 3.52, 6 Tb 3.55

The calculation puts the density of states at the Fermi level at 1.284 states/eV per atom. The value obtained for the energy above the most stable polymorph in this dataset is 0 meV/atom. The total energy comes out at -57.77 eV per cell.

Computed, not measured: an optimized crystal structure of ZnCuRe2 at the PBE-GGA level of DFT.

abc: 8.8553 8.8553 8.8553
angles: 17.96 17.96 17.96
Last column: nearest neighbours and their distance in Å.
Atoms (fractional coordinates):
Zn 0.0000 0.0000 0.0000  3 Cu 2.60, 6 Zn 2.76, 3 Re 2.81
Cu 0.2546 0.2546 0.2546  3 Zn 2.60, 3 Re 2.75, 6 Cu 2.76
Re 0.5022 0.5022 0.5022  9 Re 2.64-2.76, 3 Cu 2.75
Re 0.7552 0.7552 0.7552  9 Re 2.64-2.76, 3 Zn 2.81

The calculation puts the density of states at the Fermi level at 0.124 states/eV per atom. The value obtained for the energy above the most stable polymorph in this dataset is 0 meV/atom. The total energy comes out at -30.03 eV per cell.

Computed, not measured: an optimized crystal structure of Nd2HoTl3S6 at the PBE-GGA level of DFT.

abc: 7.1478 7.1478 7.8746
angles: 98.70 98.70 119.98
Last column: nearest neighbours and their distance in Å.
Atoms (fractional coordinates):
Nd 0.1667 0.8333 0.0000  6 S 2.85-2.86
Nd 0.8333 0.1667 0.0000  6 S 2.85-2.86
Ho 0.5000 0.5000 0.0000  6 S 2.76-2.77
Tl 0.0000 0.0000 0.5000  6 S 3.25-3.31
Tl 0.3324 0.6676 0.5000  6 S 3.24-3.32
Tl 0.6676 0.3324 0.5000  6 S 3.24-3.32
S 0.1097 0.4329 0.7991  1 Ho 2.76, 2 Nd 2.85
S 0.2442 0.2442 0.2031  1 Ho 2.77, 2 Nd 2.86
S 0.4329 0.1097 0.7991  1 Ho 2.76, 2 Nd 2.85
S 0.5671 0.8903 0.2009  1 Ho 2.76, 2 Nd 2.85
S 0.7558 0.7558 0.7969  1 Ho 2.77, 2 Nd 2.86
S 0.8903 0.5671 0.2009  1 Ho 2.76, 2 Nd 2.85

As for the formation energy (no corrections): -1.463 eV/atom. The calculation puts the density of states at the Fermi level at 0.000 states/eV per atom. The total energy comes out at -63.54 eV per cell.

Computed, not measured: an optimized crystal structure of UPaCuS6 at the PBE-GGA level of DFT.

abc: 6.3010 6.3010 6.0157
angles: 90.00 90.00 120.00
Last column: nearest neighbours and their distance in Å.
Atoms (fractional coordinates):
U 0.0000 0.0000 0.0000  6 S 2.58
Pa 0.3333 0.6667 0.5000  6 S 2.64
Cu 0.6667 0.3333 0.5000  6 S 2.53
S 0.3381 0.0149 0.7482  1 Cu 2.53, 1 U 2.58, 1 Pa 2.64
S 0.3381 0.3232 0.2518  1 Cu 2.53, 1 U 2.58, 1 Pa 2.64
S 0.6768 0.0149 0.2518  1 Cu 2.53, 1 U 2.58, 1 Pa 2.64
S 0.6768 0.6619 0.7482  1 Cu 2.53, 1 U 2.58, 1 Pa 2.64
S 0.9851 0.3232 0.7482  1 Cu 2.53, 1 U 2.58, 1 Pa 2.64
S 0.9851 0.6619 0.2518  1 Cu 2.53, 1 U 2.58, 1 Pa 2.64

As for the formation energy (no corrections): -0.993 eV/atom. The calculation puts the density of states at the Fermi level at 0.024 states/eV per atom. The total energy comes out at -58.58 eV per cell.